Record 1
Computed, not measured: crystalline Na2SeN2 at its relaxed geometry at the PBE level of DFT.

Computed properties:
spin magnetization	0.0000	μB per atom
formation energy from raw total energies	-0.5571	eV/atom
electronic total energy	-25.6	eV per cell

abc: 4.6613 4.6613 7.6589
angles: 92.60 92.60 60.25
Last column: nearest neighbours and their distance in Å.
Element x y z (fractional)
Na (0.1730, 0.1730, 0.1309)  1 N 2.68, 3 Se 2.87-2.88
Na (0.8270, 0.8270, 0.8691)  1 N 2.68, 3 Se 2.87-2.88
Se (0.5000, 0.5000, 0.0000)  6 Na 2.87-2.88
N (0.0448, 0.0448, 0.4470)  1 N 1.12
N (0.9552, 0.9552, 0.5530)  1 N 1.12



Record 2
Computed, not measured: crystalline NaSe2N2 at its relaxed geometry at the PBE level of DFT.

Computed properties:
spin magnetization	0.5250	μB per atom
formation energy from raw total energies	1.1873	eV/atom
electronic total energy	-19.0	eV per cell
energy above the most stable polymorph in this dataset	754	meV per atom

abc: 4.0467 4.0467 5.3076
angles: 90.00 90.00 90.00
Last column: nearest neighbours and their distance in Å.
Element x y z (fractional)
Na (0.0000, 0.0000, 0.0000)  4 Se 2.86
Se (0.5000, 0.5000, 0.0000)  2 Se 2.65, 4 Na 2.86
Se (0.5000, 0.5000, 0.5000)  4 N 2.02
N (0.0000, 0.5000, 0.5000)  2 Se 2.02
N (0.5000, 0.0000, 0.5000)  2 Se 2.02



Record 3
Computed, not measured: crystalline Na3Se2N2 at its relaxed geometry at the PBE level of DFT.

Computed properties:
spin magnetization	0.4325	μB per atom
formation energy from raw total energies	0.0541	eV/atom
electronic total energy	-27.2	eV per cell

abc: 5.4384 5.4384 6.4747
angles: 99.87 99.87 54.93
Last column: nearest neighbours and their distance in Å.
Element x y z (fractional)
Na (0.0000, 0.0000, 0.0000)  2 N 2.57
Na (0.2954, 0.2954, 0.6664)  3 N 2.45-2.55
Na (0.7046, 0.7046, 0.3336)  3 N 2.45-2.55
Se (0.3818, 0.3818, 0.1658)  1 N 1.79
Se (0.6182, 0.6182, 0.8342)  1 N 1.79
N (0.2275, 0.2275, 0.2818)  1 Se 1.79
N (0.7725, 0.7725, 0.7182)  1 Se 1.79



Record 4
Computed, not measured: crystalline Na4Se3N4 at its relaxed geometry at the PBE level of DFT.

Computed properties:
spin magnetization	0.0000	μB per atom
formation energy from raw total energies	0.4946	eV/atom
electronic total energy	-43.6	eV per cell

abc: 8.8118 8.8118 8.8118
angles: 161.14 106.60 76.59
Last column: nearest neighbours and their distance in Å.
Element x y z (fractional)
Na (0.2058, 0.2058, 0.0000)  2 N 2.54
Na (0.2403, 0.5000, 0.7403)  2 N 2.38
Na (0.7597, 0.5000, 0.2597)  2 N 2.38
Na (0.7942, 0.7942, 0.0000)  2 N 2.54
Se (0.0000, 0.0000, 0.0000)  6 Na 2.85-2.91, 2 Se 2.89
Se (0.3924, 0.8924, 0.5000)  4 N 1.98
Se (0.6076, 0.1076, 0.5000)  4 N 1.98
N (0.2411, 0.3636, 0.8774)  2 Se 1.98
N (0.4862, 0.3636, 0.1226)  2 Se 1.98
N (0.5138, 0.6364, 0.8774)  2 Se 1.98
N (0.7589, 0.6364, 0.1226)  2 Se 1.98



Record 5
Computed, not measured: crystalline Na2Se4N3 at its relaxed geometry at the PBE level of DFT.

Computed properties:
spin magnetization	0.1769	μB per atom
formation energy from raw total energies	0.5834	eV/atom
electronic total energy	-72.6	eV per cell

abc: 9.2565 9.2565 5.3831
angles: 90.00 90.00 90.85
Last column: nearest neighbours and their distance in Å.
Element x y z (fractional)
Na (0.0475, 0.7767, 0.0000)  4 N 2.51-2.59
Na (0.2233, 0.9525, 0.5000)  4 N 2.51-2.59
Na (0.7767, 0.0475, 0.5000)  4 N 2.51-2.59
Na (0.9525, 0.2233, 0.0000)  4 N 2.51-2.59
Se (0.0769, 0.3994, 0.5000)  1 Se 2.36
Se (0.3138, 0.5946, 0.5000)  2 N 1.81
Se (0.3994, 0.0769, 0.0000)  1 Se 2.36
Se (0.4054, 0.6862, 0.0000)  2 N 1.81
Se (0.5946, 0.3138, 0.0000)  2 N 1.81
Se (0.6006, 0.9231, 0.0000)  1 Se 2.36
Se (0.6862, 0.4054, 0.5000)  2 N 1.81
Se (0.9231, 0.6006, 0.5000)  1 Se 2.36
N (0.0000, 0.0000, 0.2500)  4 Na 2.51, 2 N 2.69
N (0.0000, 0.0000, 0.7500)  4 Na 2.51, 2 N 2.69
N (0.2790, 0.7210, 0.2500)  2 Se 1.81
N (0.2790, 0.7210, 0.7500)  2 Se 1.81
N (0.7210, 0.2790, 0.2500)  2 Se 1.81
N (0.7210, 0.2790, 0.7500)  2 Se 1.81



Record 6
Computed, not measured: crystalline NaSe2N2 at its relaxed geometry at the PBE level of DFT.

Computed properties:
spin magnetization	0.0000	μB per atom
formation energy from raw total energies	0.4335	eV/atom
electronic total energy	-22.8	eV per cell
energy above the most stable polymorph in this dataset	0	meV per atom

abc: 3.7758 5.2323 5.2341
angles: 111.17 90.14 90.33
Last column: nearest neighbours and their distance in Å.
Element x y z (fractional)
Na (0.0000, 0.0000, 0.0000)  4 N 2.53
Se (0.4966, 0.3411, 0.6588)  2 N 1.87
Se (0.5034, 0.6589, 0.3412)  2 N 1.87
N (0.4953, 0.7151, 0.7150)  2 Se 1.87
N (0.5047, 0.2849, 0.2850)  2 Se 1.87



Record 7
Computed, not measured: crystalline NaSeN3 at its relaxed geometry at the PBE level of DFT.

Computed properties:
spin magnetization	1.1170	μB per atom
formation energy from raw total energies	2.8879	eV/atom
electronic total energy	-15.3	eV per cell

abc: 4.2458 4.2458 4.2458
angles: 90.00 90.00 90.00
Last column: nearest neighbours and their distance in Å.
Element x y z (fractional)
Na (0.0000, 0.0000, 0.0000)  6 N 2.12
Se (0.5000, 0.5000, 0.5000)  12 N 3.00
N (0.0000, 0.0000, 0.5000)  2 Na 2.12
N (0.0000, 0.5000, 0.0000)  2 Na 2.12
N (0.5000, 0.0000, 0.0000)  2 Na 2.12



Record 8
Computed, not measured: crystalline Na5Se2N2 at its relaxed geometry at the PBE level of DFT.

Computed properties:
spin magnetization	0.3901	μB per atom
formation energy from raw total energies	0.1667	eV/atom
electronic total energy	-28.7	eV per cell

abc: 8.3970 8.3970 7.3449
angles: 98.42 98.42 21.33
Last column: nearest neighbours and their distance in Å.
Element x y z (fractional)
Na (0.0000, 0.0000, 0.0000)  4 N 2.67
Na (0.1686, 0.1686, 0.8231)  2 N 2.46
Na (0.4166, 0.4166, 0.5720)  2 N 2.42-2.46
Na (0.5834, 0.5834, 0.4280)  2 N 2.42-2.46
Na (0.8314, 0.8314, 0.1769)  2 N 2.46
Se (0.1820, 0.1820, 0.2172)  6 Na 2.86-3.18, 2 Se 3.11
Se (0.8180, 0.8180, 0.7828)  6 Na 2.86-3.18, 2 Se 3.11
N (0.4472, 0.4472, 0.2536)  6 Na 2.42-2.67
N (0.5528, 0.5528, 0.7464)  6 Na 2.42-2.67



Record 9
Computed, not measured: crystalline Na5Se3N2 at its relaxed geometry at the PBE level of DFT.

Computed properties:
spin magnetization	0.1027	μB per atom
formation energy from raw total energies	-0.2406	eV/atom
electronic total energy	-72.2	eV per cell

abc: 7.0791 8.0286 8.8289
angles: 86.51 88.58 69.51
Last column: nearest neighbours and their distance in Å.
Element x y z (fractional)
Na (0.0010, 0.2606, 0.0320)  1 N 2.42
Na (0.0329, 0.6135, 0.3575)  2 N 2.41-2.54
Na (0.2032, 0.0599, 0.4491)  1 N 2.43
Na (0.3267, 0.9432, 0.0484)  2 N 2.40-2.49
Na (0.4895, 0.7005, 0.7511)  2 N 2.38-2.49
Na (0.5105, 0.2995, 0.2489)  2 N 2.38-2.49
Na (0.6733, 0.0568, 0.9516)  2 N 2.40-2.49
Na (0.7968, 0.9401, 0.5509)  1 N 2.43
Na (0.9671, 0.3865, 0.6425)  2 N 2.41-2.54
Na (0.9990, 0.7394, 0.9680)  1 N 2.42
Se (0.0544, 0.0141, 0.7641)  7 Na 2.88-3.11
Se (0.2983, 0.4060, 0.8750)  1 N 1.79
Se (0.4509, 0.2950, 0.6084)  1 N 1.78
Se (0.5491, 0.7050, 0.3916)  1 N 1.78
Se (0.7017, 0.5940, 0.1250)  1 N 1.79
Se (0.9456, 0.9859, 0.2359)  7 Na 2.88-3.11
N (0.2666, 0.3367, 0.4639)  1 Se 1.78
N (0.3479, 0.2463, 0.0335)  1 Se 1.79
N (0.6521, 0.7537, 0.9665)  1 Se 1.79
N (0.7334, 0.6633, 0.5361)  1 Se 1.78



Record 10
Computed, not measured: crystalline NaSe2N2 at its relaxed geometry at the PBE level of DFT.

Computed properties:
spin magnetization	0.4870	μB per atom
formation energy from raw total energies	1.3167	eV/atom
electronic total energy	-18.4	eV per cell
energy above the most stable polymorph in this dataset	883	meV per atom

abc: 4.4003 4.4003 4.2738
angles: 90.00 90.00 90.00
Last column: nearest neighbours and their distance in Å.
Element x y z (fractional)
Na (0.0000, 0.0000, 0.0000)  8 Se 3.07, 4 N 3.11
Se (0.0000, 0.5000, 0.5000)  2 N 2.20
Se (0.5000, 0.0000, 0.5000)  2 N 2.20
N (0.5000, 0.5000, 0.0000)  2 N 2.14
N (0.5000, 0.5000, 0.5000)  2 N 2.14, 4 Se 2.20



Record 11
Computed, not measured: crystalline NaSe2N at its relaxed geometry at the PBE level of DFT.

Computed properties:
spin magnetization	0.0000	μB per atom
formation energy from raw total energies	0.3286	eV/atom
electronic total energy	-15.3	eV per cell

abc: 6.3093 6.3093 6.3093
angles: 46.03 46.03 46.03
Last column: nearest neighbours and their distance in Å.
Element x y z (fractional)
Na (0.0000, 0.0000, 0.0000)  6 Se 3.04
Se (0.3968, 0.3968, 0.3968)  1 N 1.74
Se (0.6032, 0.6032, 0.6032)  1 N 1.74
N (0.5000, 0.5000, 0.5000)  2 Se 1.74



Record 12
Computed, not measured: crystalline NaSe2N at its relaxed geometry at the PBE level of DFT.

Computed properties:
spin magnetization	0.0000	μB per atom
formation energy from raw total energies	0.4011	eV/atom
electronic total energy	-30.0	eV per cell

abc: 6.1453 6.1453 6.1453
angles: 114.58 114.58 99.68
Last column: nearest neighbours and their distance in Å.
Element x y z (fractional)
Na (0.0000, 0.0000, 0.0000)  4 Se 3.12
Na (0.7500, 0.2500, 0.5000)  4 Se 3.12
Se (0.2428, 0.1250, 0.6178)  2 N 2.12
Se (0.3750, 0.7572, 0.8822)  2 N 2.12
Se (0.5072, 0.6250, 0.3822)  2 N 2.12
Se (0.8750, 0.4928, 0.1178)  2 N 2.12
N (0.2500, 0.7500, 0.5000)  4 Se 2.12
N (0.5000, 0.5000, 0.0000)  4 Se 2.12